The following is a PBE calculation of a geometry-optimized V6Mo5Pt structure, from the Alexandria database.

a b c (Å): 7.5256 7.5256 7.5256
angles (deg): 146.43 131.91 59.92
Element x y z (fractional)
1 V 0.0758 0.3304 0.7454
2 V 0.2395 0.0000 0.2395
3 V 0.4150 0.6696 0.7454
4 V 0.5850 0.3304 0.2546
5 V 0.7605 0.0000 0.7605
6 V 0.9242 0.6696 0.2546
7 Mo 0.0000 0.5000 0.5000
8 Mo 0.1680 0.1680 0.0000
9 Mo 0.3376 0.8376 0.5000
10 Mo 0.6624 0.1624 0.5000
11 Mo 0.8320 0.8320 0.0000
12 Pt 0.5000 0.5000 0.0000

Output
Calculated density = 9369 kg/m3
Volume = 173.8 Å³/f.u.
Total energy = -117.70 eV per cell
Symmetry = Immm, No. 71



The following is a PBE calculation of a geometry-optimized Na2TiGeSe5 structure, from the Alexandria database.

a b c (Å): 9.2353 9.2353 13.3297
angles (deg): 90.00 90.00 156.38
Element x y z (fractional)
1 Na 0.1137 0.8863 0.5000
2 Na 0.1194 0.8806 0.1528
3 Na 0.8806 0.1194 0.6528
4 Na 0.8863 0.1137 0.0000
5 Ti 0.2245 0.7755 0.8775
6 Ti 0.7755 0.2245 0.3775
7 Ge 0.4279 0.5721 0.2546
8 Ge 0.5721 0.4279 0.7546
9 Se 0.0583 0.9417 0.8721
10 Se 0.2888 0.7112 0.5032
11 Se 0.2970 0.7030 0.2352
12 Se 0.3505 0.6495 0.8334
13 Se 0.4924 0.5076 0.1055
14 Se 0.5076 0.4924 0.6055
15 Se 0.6495 0.3505 0.3334
16 Se 0.7030 0.2970 0.7352
17 Se 0.7112 0.2888 0.0032
18 Se 0.9417 0.0583 0.3721

Output
Calculated density = 4093 kg/m3
Volume = 227.7 Å³/f.u.
Formation energy (no corrections) = -0.844 eV/atom
Symmetry = Cmc2_1, No. 36



The following is a PBE calculation of a geometry-optimized Cr2Co6W structure, from the Alexandria database.

a b c (Å): 6.6202 6.6202 4.3241
angles (deg): 98.90 98.90 141.79
Element x y z (fractional)
1 Cr 0.1654 0.8346 0.0000
2 Cr 0.8346 0.1654 0.0000
3 Co 0.1703 0.5142 0.6730
4 Co 0.3247 0.3247 0.1605
5 Co 0.4858 0.8297 0.3270
6 Co 0.5142 0.1703 0.6730
7 Co 0.6753 0.6753 0.8395
8 Co 0.8297 0.4858 0.3270
9 W 0.0000 0.0000 0.5000

Output
Calculated density = 10310 kg/m3
Volume = 103.3 Å³/f.u.
Total energy = -73.49 eV per cell
Symmetry = C2/m, No. 12



The following is a PBE calculation of a geometry-optimized La3Hf5H12 structure, from the Alexandria database.

a b c (Å): 10.9536 10.9536 10.9536
angles (deg): 109.47 109.47 109.47
Element x y z (fractional)
1 La 0.1250 0.2500 0.3750
2 La 0.1250 0.3750 0.7500
3 La 0.2500 0.3750 0.1250
4 La 0.2500 0.8750 0.6250
5 La 0.3750 0.1250 0.2500
6 La 0.3750 0.7500 0.1250
7 La 0.6250 0.2500 0.8750
8 La 0.6250 0.8750 0.7500
9 La 0.7500 0.1250 0.3750
10 La 0.7500 0.6250 0.8750
11 La 0.8750 0.6250 0.2500
12 La 0.8750 0.7500 0.6250
13 Hf 0.0000 0.0000 0.0000
14 Hf 0.0000 0.0000 0.5000
15 Hf 0.0000 0.5000 0.0000
16 Hf 0.0000 0.5000 0.5000
17 Hf 0.1250 0.7500 0.8750
18 Hf 0.1250 0.8750 0.2500
19 Hf 0.2500 0.1250 0.8750
20 Hf 0.2500 0.6250 0.3750
21 Hf 0.3750 0.2500 0.6250
22 Hf 0.3750 0.6250 0.7500
23 Hf 0.5000 0.0000 0.0000
24 Hf 0.5000 0.0000 0.5000
25 Hf 0.5000 0.5000 0.0000
26 Hf 0.5000 0.5000 0.5000
27 Hf 0.6250 0.3750 0.2500
28 Hf 0.6250 0.7500 0.3750
29 Hf 0.7500 0.3750 0.6250
30 Hf 0.7500 0.8750 0.1250
31 Hf 0.8750 0.1250 0.7500
32 Hf 0.8750 0.2500 0.1250
33 H 0.0422 0.2077 0.1290
34 H 0.0422 0.3344 0.9131
35 H 0.0787 0.7077 0.6656
36 H 0.0787 0.8710 0.4131
37 H 0.0869 0.6290 0.4213
38 H 0.0869 0.9578 0.6656
39 H 0.1290 0.0422 0.2077
40 H 0.1290 0.5869 0.9213
41 H 0.1656 0.2077 0.5787
42 H 0.1656 0.4578 0.5869
43 H 0.2077 0.1290 0.0422
44 H 0.2077 0.5787 0.1656
45 H 0.2923 0.3344 0.9213
46 H 0.2923 0.4578 0.3710
47 H 0.3344 0.9131 0.0422
48 H 0.3344 0.9213 0.2923
49 H 0.3710 0.2923 0.4578
50 H 0.3710 0.5787 0.9131
51 H 0.4131 0.0787 0.8710
52 H 0.4131 0.8344 0.5422
53 H 0.4213 0.0869 0.6290
54 H 0.4213 0.8344 0.7923
55 H 0.4578 0.3710 0.2923
56 H 0.4578 0.5869 0.1656
57 H 0.5422 0.4131 0.8344
58 H 0.5422 0.6290 0.7077
59 H 0.5787 0.1656 0.2077
60 H 0.5787 0.9131 0.3710
61 H 0.5869 0.1656 0.4578
62 H 0.5869 0.9213 0.1290
63 H 0.6290 0.4213 0.0869
64 H 0.6290 0.7077 0.5422
65 H 0.6656 0.0787 0.7077
66 H 0.6656 0.0869 0.9578
67 H 0.7077 0.5422 0.6290
68 H 0.7077 0.6656 0.0787
69 H 0.7923 0.4213 0.8344
70 H 0.7923 0.8710 0.9578
71 H 0.8344 0.5422 0.4131
72 H 0.8344 0.7923 0.4213
73 H 0.8710 0.4131 0.0787
74 H 0.8710 0.9578 0.7923
75 H 0.9131 0.0422 0.3344
76 H 0.9131 0.3710 0.5787
77 H 0.9213 0.1290 0.5869
78 H 0.9213 0.2923 0.3344
79 H 0.9578 0.6656 0.0869
80 H 0.9578 0.7923 0.8710

Output
Calculated density = 8675 kg/m3
Volume = 252.9 Å³/f.u.
Total energy = -446.02 eV per cell
Symmetry = Ia-3d, No. 230



The following is a PBE calculation of a geometry-optimized HgPtS2 structure, from the Alexandria database.

a b c (Å): 5.2872 5.2872 11.0268
angles (deg): 90.00 90.00 90.00
Element x y z (fractional)
1 Hg 0.0000 0.2500 0.3750
2 Hg 0.0000 0.7500 0.6250
3 Hg 0.5000 0.2500 0.1250
4 Hg 0.5000 0.7500 0.8750
5 Pt 0.0000 0.2500 0.8750
6 Pt 0.0000 0.7500 0.1250
7 Pt 0.5000 0.2500 0.6250
8 Pt 0.5000 0.7500 0.3750
9 S 0.0000 0.2500 0.0903
10 S 0.0000 0.2500 0.6597
11 S 0.0000 0.7500 0.3403
12 S 0.0000 0.7500 0.9097
13 S 0.5000 0.2500 0.4097
14 S 0.5000 0.2500 0.8403
15 S 0.5000 0.7500 0.1597
16 S 0.5000 0.7500 0.5903

Output
Calculated density = 9908 kg/m3
Volume = 77.1 Å³/f.u.
Formation energy (no corrections) = -0.022 eV/atom
Symmetry = I4_1/amd, No. 141



The following is a PBE calculation of a geometry-optimized MnCrCo2 structure, from the Alexandria database.

a b c (Å): 2.4792 2.4792 24.6173
angles (deg): 90.00 90.00 120.00
Element x y z (fractional)
1 Mn 0.0000 0.0000 0.0000
2 Mn 0.3333 0.6667 0.6667
3 Mn 0.6667 0.3333 0.3333
4 Cr 0.0000 0.0000 0.7532
5 Cr 0.3333 0.6667 0.4199
6 Cr 0.6667 0.3333 0.0865
7 Co 0.0000 0.0000 0.2525
8 Co 0.0000 0.0000 0.5016
9 Co 0.3333 0.6667 0.1683
10 Co 0.3333 0.6667 0.9192
11 Co 0.6667 0.3333 0.5859
12 Co 0.6667 0.3333 0.8350

Output
Calculated density = 8546 kg/m3
Volume = 43.7 Å³/f.u.
Total energy = -97.40 eV per cell
Symmetry = R3m, No. 160



The following is a PBE calculation of a geometry-optimized Sm4BiPd15 structure, from the Alexandria database.

a b c (Å): 4.1654 4.1654 20.8260
angles (deg): 90.00 90.00 90.00
Element x y z (fractional)
1 Sm 0.0000 0.0000 0.1001
2 Sm 0.0000 0.0000 0.2994
3 Sm 0.0000 0.0000 0.7006
4 Sm 0.0000 0.0000 0.8999
5 Bi 0.0000 0.0000 0.5000
6 Pd 0.0000 0.5000 0.0000
7 Pd 0.0000 0.5000 0.2015
8 Pd 0.0000 0.5000 0.4026
9 Pd 0.0000 0.5000 0.5974
10 Pd 0.0000 0.5000 0.7985
11 Pd 0.5000 0.0000 0.0000
12 Pd 0.5000 0.0000 0.2015
13 Pd 0.5000 0.0000 0.4026
14 Pd 0.5000 0.0000 0.5974
15 Pd 0.5000 0.0000 0.7985
16 Pd 0.5000 0.5000 0.1009
17 Pd 0.5000 0.5000 0.3040
18 Pd 0.5000 0.5000 0.5000
19 Pd 0.5000 0.5000 0.6960
20 Pd 0.5000 0.5000 0.8991

Output
Calculated density = 11060 kg/m3
Volume = 361.3 Å³/f.u.
Total energy = -114.67 eV per cell
Symmetry = P4/mmm, No. 123



The following is a PBE calculation of a geometry-optimized NaGa2Pt5 structure, from the Alexandria database.

a b c (Å): 3.8398 7.3974 9.8558
angles (deg): 90.00 90.00 90.00
Element x y z (fractional)
1 Na 0.0000 0.0000 0.0000
2 Na 0.5000 0.5000 0.5000
3 Ga 0.0000 0.5000 0.2564
4 Ga 0.0000 0.5000 0.7436
5 Ga 0.5000 0.0000 0.2436
6 Ga 0.5000 0.0000 0.7564
7 Pt 0.0000 0.1930 0.3533
8 Pt 0.0000 0.1930 0.6467
9 Pt 0.0000 0.5000 0.0000
10 Pt 0.0000 0.8070 0.3533
11 Pt 0.0000 0.8070 0.6467
12 Pt 0.5000 0.0000 0.5000
13 Pt 0.5000 0.3070 0.1467
14 Pt 0.5000 0.3070 0.8533
15 Pt 0.5000 0.6930 0.1467
16 Pt 0.5000 0.6930 0.8533

Output
Calculated density = 13499 kg/m3
Volume = 140.0 Å³/f.u.
Total energy = -82.48 eV per cell
Symmetry = Immm, No. 71



The following is a PBE calculation of a geometry-optimized TiOs3Pt structure, from the Alexandria database.

a b c (Å): 4.7096 4.7096 4.7096
angles (deg): 90.00 90.00 90.00
Element x y z (fractional)
1 Ti 0.0000 0.0000 0.0000
2 Os 0.0000 0.5000 0.5000
3 Os 0.5000 0.0000 0.5000
4 Os 0.5000 0.5000 0.0000
5 Pt 0.5000 0.5000 0.5000

Output
Calculated density = 12934 kg/m3
Volume = 104.5 Å³/f.u.
E above lowest polymorph = 0.454 eV per atom
Symmetry = Pm-3m, No. 221



The following is a PBE calculation of a geometry-optimized ZrTiAs structure, from the Alexandria database.

a b c (Å): 9.9622 3.5046 7.3765
angles (deg): 90.00 119.45 90.00
Element x y z (fractional)
1 Zr 0.0000 0.0000 0.0000
2 Zr 0.2181 0.5000 0.4018
3 Zr 0.5000 0.5000 0.0000
4 Zr 0.7181 0.0000 0.4018
5 Ti 0.1433 0.0000 0.7066
6 Ti 0.4191 0.0000 0.3097
7 Ti 0.6433 0.5000 0.7066
8 Ti 0.9191 0.5000 0.3097
9 As 0.2377 0.5000 0.0333
10 As 0.4164 0.0000 0.6745
11 As 0.7377 0.0000 0.0333
12 As 0.9164 0.5000 0.6745

Output
Calculated density = 6339 kg/m3
Volume = 56.1 Å³/f.u.
Total energy = -92.91 eV per cell
Symmetry = Cm, No. 8



The following is a PBE calculation of a geometry-optimized AlVTe2N structure, from the Alexandria database.

a b c (Å): 5.4046 5.4046 3.6366
angles (deg): 90.00 90.00 90.00
Element x y z (fractional)
1 Al 0.0000 0.0000 0.0000
2 V 0.5000 0.5000 0.5000
3 Te 0.0000 0.5000 0.5000
4 Te 0.5000 0.0000 0.5000
5 N 0.5000 0.5000 0.0000

Output
Calculated density = 5427 kg/m3
Volume = 106.2 Å³/f.u.
Formation energy (no corrections) = 0.106 eV/atom
E above lowest polymorph = 0.000 eV per atom
Symmetry = P4/mmm, No. 123



The following is a PBE calculation of a geometry-optimized Rb3NaTiO4 structure, from the Alexandria database.

a b c (Å): 10.8893 6.5177 10.9825
angles (deg): 90.00 112.56 90.00
Element x y z (fractional)
1 Rb 0.0427 0.1522 0.1733
2 Rb 0.0427 0.3478 0.6733
3 Rb 0.3219 0.6237 0.9002
4 Rb 0.3219 0.8763 0.4002
5 Rb 0.4504 0.1046 0.8061
6 Rb 0.4504 0.3954 0.3061
7 Rb 0.5496 0.6046 0.6939
8 Rb 0.5496 0.8954 0.1939
9 Rb 0.6781 0.1237 0.5998
10 Rb 0.6781 0.3763 0.0998
11 Rb 0.9573 0.6522 0.3267
12 Rb 0.9573 0.8478 0.8267
13 Na 0.1250 0.6150 0.1080
14 Na 0.1250 0.8850 0.6080
15 Na 0.8750 0.1150 0.3920
16 Na 0.8750 0.3850 0.8920
17 Ti 0.2413 0.1316 0.9864
18 Ti 0.2413 0.3684 0.4864
19 Ti 0.7587 0.6316 0.5136
20 Ti 0.7587 0.8684 0.0136
21 O 0.1152 0.1644 0.4660
22 O 0.1152 0.3356 0.9660
23 O 0.2041 0.0153 0.8230
24 O 0.2041 0.4847 0.3230
25 O 0.2369 0.5739 0.6018
26 O 0.2369 0.9261 0.1018
27 O 0.4090 0.2453 0.0423
28 O 0.4090 0.2547 0.5423
29 O 0.5910 0.7453 0.4577
30 O 0.5910 0.7547 0.9577
31 O 0.7631 0.0739 0.8982
32 O 0.7631 0.4261 0.3982
33 O 0.7959 0.5153 0.6770
34 O 0.7959 0.9847 0.1770
35 O 0.8848 0.6644 0.0340
36 O 0.8848 0.8356 0.5340

Output
Calculated density = 3610 kg/m3
Volume = 180.0 Å³/f.u.
Formation energy (no corrections) = -2.055 eV/atom
Symmetry = P2_1/c, No. 14